Record 1
Material: Zr3CrAu
Method: DFT, PBE
State: optimized geometry

## Properties
ΔE_f ... 0.42 eV per atom
Offset from the most stable computed form ... 0.0 meV/atom
Space-group type ... No. 221

Structure (POSCAR):
```
Zr3CrAu
1.0
4.792 0.000 0.000
0.000 4.792 0.000
0.000 0.000 4.792
Zr Cr Au
3 1 1
Direct
0.000 0.000 0.500
0.000 0.500 0.000
0.500 0.000 0.000
0.000 0.000 0.000
0.500 0.500 0.500
```

=====

Record 2
Material: ZrCrAu2
Method: DFT, PBE
State: optimized geometry

## Properties
ΔE_f ... -0.16 eV per atom
Offset from the most stable computed form ... 51.8 meV/atom
Space-group type ... No. 123

Structure (POSCAR):
```
ZrCrAu2
1.0
4.214 0.000 0.000
0.000 4.214 0.000
0.000 0.000 4.055
Zr Cr Au
1 1 2
Direct
0.000 0.000 0.000
0.500 0.500 0.000
0.000 0.500 0.500
0.500 0.000 0.500
```

=====

Record 3
Material: ZrCr2Au
Method: DFT, PBE
State: optimized geometry

## Properties
ΔE_f ... 0.25 eV per atom
Offset from the most stable computed form ... 274.4 meV/atom
Space-group type ... No. 139

Structure (POSCAR):
```
ZrCr2Au
1.0
-2.077 2.077 4.040
2.077 -2.077 4.040
2.077 2.077 -4.040
Zr Cr Au
1 2 1
Direct
0.000 0.000 0.000
0.250 0.750 0.500
0.750 0.250 0.500
0.500 0.500 0.000
```